VASP calculation (PBE-GGA) on a relaxed ZrCrCd2Ru crystal.

Unit cell a=5.1986 b=5.1986 c=4.7815 alpha=90.00 beta=90.00 gamma=90.00
Sites, in units of the cell vectors:
Zr1 0.0000 0.0000 0.0000
Cr1 0.5000 0.5000 0.0000
Cd1 0.0000 0.5000 0.5000
Cd2 0.5000 0.0000 0.5000
Ru1 0.0000 0.0000 0.5000

calculated formation energy = 729 meV/atom